[1]
Below is an optimized crystal structure of BeTlV2P, with properties calculated at the PBE level.

The value obtained for the formation energy is 3.20 eV/f.u. As for the space group: P4/mmm, No. 123. The size of the total moment is 3.50 μB per formula unit.

Cell: 4.5351 3.7848 4.5351 Å, 90.00 90.00 90.00°
Closest atoms and distances in Å follow each position.
Positions (direct):
Tl1 0.5000 0.5000 0.5000  8 V 2.95, 4 P 3.21
V1 0.5000 0.0000 0.0000  2 Be 2.27
V2 0.0000 0.0000 0.5000  2 Be 2.27
Be1 0.0000 0.0000 0.0000  2 P 1.89
P1 0.0000 0.5000 0.0000  2 Be 1.89

[2]
Below is an optimized crystal structure of CrTeAsI2, with properties calculated at the PBE level.

As for the space group: P4/mmm, No. 123. The size of the total moment is 0.00 μB per formula unit. The relative energy among the computed polymorphs is 57 kJ/mol of formula units.

Cell: 5.1813 5.1813 5.1951 Å, 90.00 90.00 90.00°
Closest atoms and distances in Å follow each position.
Positions (direct):
Te1 0.0000 0.0000 0.5000  2 Cr 2.60
I1 0.5000 0.0000 0.0000  2 Cr 2.59
I2 0.0000 0.5000 0.0000  2 Cr 2.59
Cr1 0.0000 0.0000 0.0000  4 I 2.59, 2 Te 2.60
As1 0.5000 0.5000 0.5000  4 Te 3.66, 8 I 3.67

[3]
Below is an optimized crystal structure of Tl2ZnSi, with properties calculated at the PBE level.

As for the space group: R-3m, No. 166. The size of the total moment is 0.00 μB per formula unit. The relative energy among the computed polymorphs is 105 kJ/mol of formula units.

Cell: 8.5263 8.5263 8.5263 Å, 24.77 24.77 24.77°
Closest atoms and distances in Å follow each position.
Positions (direct):
Tl1 0.0002 0.0002 0.0002  3 Si 2.95, 3 Zn 2.96
Tl2 0.4998 0.4998 0.4998  3 Si 2.95, 3 Zn 2.96
Si1 0.7500 0.7500 0.7500  6 Tl 2.95
Zn1 0.2500 0.2500 0.2500  6 Tl 2.96

[4]
Below is an optimized crystal structure of LaMn2Co, with properties calculated at the PBE level.

The value obtained for the formation energy is 1.51 eV/f.u. As for the space group: Imm2, No. 44. The size of the total moment is 7.97 μB per formula unit.

Cell: 5.3994 5.3994 5.3994 Å, 143.32 129.69 63.86°
Closest atoms and distances in Å follow each position.
Positions (direct):
Co1 0.4789 0.4789 0.0000  2 Mn 2.42
Mn1 0.2913 0.7913 0.5000  2 Co 2.42
Mn2 0.0039 0.0039 0.0000  4 Co 2.86, 4 Mn 3.01-3.13, 4 La 3.06-3.07
La1 0.7259 0.2259 0.5000  2 Co 2.83, 8 Mn 2.92-3.07